Pr2Ho4ErTm2 (PBE-GGA, optimized geometry); energy of formation = 0.090 eV per atom; calculated density = 8.321 Mg/m³
1.0
6.306 2.416 0.856
1.500 9.458 2.225
-3.315 -3.977 4.087
Er Ho Tm Pr
1 4 2 2
Direct
0.000 0.000 0.000
0.256 0.115 0.801
0.744 0.885 0.199
0.612 0.766 0.503
0.388 0.234 0.497
0.824 0.445 0.038
0.176 0.555 0.962
0.268 0.658 0.604
0.732 0.342 0.396